Entry 1:
Below is a geometry-optimized SrZrSn3 structure, with properties calculated at the PBE level.

Output
Its density of states at the Fermi level is 0.583 states/eV per atom. The formation energy is 572 kJ/mol of formula units. The calculation puts the distance to the lowest polymorph of the same formula at 1373 meV per atom. Its size of the total moment is 0.002 μB per formula unit.

abc: 5.675 5.675 5.675
angles: 90.00 90.00 90.00
Atoms (fractional coordinates):
Sr  0.000  0.000  0.000
Sn  0.000  0.500  0.000
Sn  0.000  0.000  0.500
Sn  0.500  0.000  0.000
Zr  0.500  0.500  0.500

Entry 2:
Below is a geometry-optimized SrZrSn2 structure, with properties calculated at the PBE level.

Output
Its density of states at the Fermi level is 0.632 states/eV per atom. The formation energy is -130 kJ/mol of formula units. Its size of the total moment is 0.000 μB per formula unit.

abc: 4.698 4.698 7.014
angles: 70.43 70.43 60.00
Atoms (fractional coordinates):
Sr  0.500  0.500  0.500
Sn  0.272  0.272  0.185
Sn  0.728  0.728  0.815
Zr  0.000  0.000  0.000

Entry 3:
Below is a geometry-optimized SrZrSn2 structure, with properties calculated at the PBE level.

Output
Its density of states at the Fermi level is 0.669 states/eV per atom. The formation energy is -165 kJ/mol of formula units. Its size of the total moment is 0.671 μB per formula unit.

abc: 3.889 3.889 7.288
angles: 90.00 90.00 90.00
Each line ends with the local moment (μB).
Atoms (fractional coordinates):
Sr  0.500  0.500  0.500  0.03
Sn  0.000  0.000  0.796  0.00
Sn  0.000  0.000  0.204  0.00
Zr  0.500  0.500  0.000  0.35

Entry 4:
Below is a geometry-optimized SrZrSn2 structure, with properties calculated at the PBE level.

Output
Its density of states at the Fermi level is 0.874 states/eV per atom. The formation energy is 16 kJ/mol of formula units. Its size of the total moment is 0.000 μB per formula unit.

abc: 5.543 5.543 10.419
angles: 74.57 74.57 90.00
Atoms (fractional coordinates):
Sr  0.500  0.500  0.000
Sr  0.250  0.750  0.500
Sn  0.757  0.125  0.250
Sn  0.993  0.625  0.250
Sn  0.375  0.243  0.750
Sn  0.875  0.007  0.750
Zr  0.000  0.000  0.000
Zr  0.750  0.250  0.500

Entry 5:
Below is a geometry-optimized TaSn structure, with properties calculated at the PBE level.

Output
Its density of states at the Fermi level is 0.939 states/eV per atom. The formation energy is 67 kJ/mol of formula units. Its size of the total moment is 0.000 μB per formula unit.

abc: 9.535 9.535 3.466
angles: 90.00 90.00 120.00
Atoms (fractional coordinates):
Ta  0.138  0.548  0.250
Ta  0.591  0.138  0.750
Ta  0.452  0.591  0.250
Ta  0.862  0.452  0.750
Ta  0.409  0.862  0.250
Ta  0.548  0.409  0.750
Sn  0.868  0.197  0.250
Sn  0.671  0.868  0.750
Sn  0.803  0.671  0.250
Sn  0.132  0.803  0.750
Sn  0.329  0.132  0.250
Sn  0.197  0.329  0.750

Entry 6:
Below is a geometry-optimized Ta4Sn structure, with properties calculated at the PBE level.

Output
Its density of states at the Fermi level is 1.206 states/eV per atom. The formation energy is 985 kJ/mol of formula units. The calculation puts the distance to the lowest polymorph of the same formula at 1986 meV per atom. Its size of the total moment is 0.000 μB per formula unit.

abc: 4.935 4.935 4.935
angles: 90.00 90.00 90.00
Atoms (fractional coordinates):
Sn  0.500  0.500  0.500
Ta  0.000  0.000  0.000
Ta  0.500  0.000  0.500
Ta  0.000  0.500  0.500
Ta  0.500  0.500  0.000

Entry 7:
Below is a geometry-optimized TaSn structure, with properties calculated at the PBE level.

Output
Its density of states at the Fermi level is 1.134 states/eV per atom. The formation energy is 188 kJ/mol of formula units. Its size of the total moment is 0.000 μB per formula unit.

abc: 4.820 4.820 5.504
angles: 90.00 90.00 120.00
Atoms (fractional coordinates):
Ta  0.333  0.667  0.750
Ta  0.667  0.333  0.250
Sn  0.333  0.667  0.250
Sn  0.667  0.333  0.750

Entry 8:
Below is a geometry-optimized TaSn structure, with properties calculated at the PBE level.

Output
Its density of states at the Fermi level is 0.741 states/eV per atom. The formation energy is 134 kJ/mol of formula units. Its size of the total moment is 0.000 μB per formula unit.

abc: 5.640 5.640 5.640
angles: 90.00 90.00 90.00
Atoms (fractional coordinates):
Ta  0.500  0.500  0.500
Ta  0.500  0.000  0.000
Ta  0.000  0.500  0.000
Ta  0.000  0.000  0.500
Sn  0.000  0.000  0.000
Sn  0.000  0.500  0.500
Sn  0.500  0.000  0.500
Sn  0.500  0.500  0.000